Below is an optimized crystal structure of NpTl2WO6, with properties calculated at the PBE+U level.

Cell: 5.9716 5.9717 8.4443 Å, 90.00 90.00 90.00°
Closest atoms and distances in Å follow each position.
Atoms (fractional coordinates):
Np  0.5000  0.2498  0.5000  6 O 2.24-2.25
Np  0.0000  0.7502  0.0000  6 O 2.24-2.25
Tl  0.5000  0.7500  0.2500  12 O 2.99
Tl  0.0000  0.2500  0.7500  12 O 2.99
Tl  0.5000  0.7500  0.7500  12 O 2.99
Tl  0.0000  0.2500  0.2500  12 O 2.99
W  0.0000  0.7498  0.5000  6 O 1.98
W  0.5000  0.2502  0.0000  6 O 1.98
O  0.5000  0.2502  0.2342  1 W 1.98
O  0.5000  0.2502  0.7658  1 W 1.98
O  0.0000  0.7498  0.2658  1 W 1.98
O  0.0000  0.7498  0.7342  1 W 1.98
O  0.2341  0.9838  0.5000  1 W 1.98
O  0.7659  0.9838  0.5000  1 W 1.98
O  0.2341  0.5156  0.5000  1 W 1.98
O  0.7659  0.5156  0.5000  1 W 1.98
O  0.7341  0.4844  0.0000  1 W 1.98
O  0.2659  0.4844  0.0000  1 W 1.98
O  0.2659  0.0162  0.0000  1 W 1.98
O  0.7341  0.0162  0.0000  1 W 1.98

Output
E: -7.39 eV/atom
DOS at the Fermi energy: 13.08 states/eV/cell
crystal system: cubic